SbICl6 | Alexandria | PBE-GGA | relaxed; crystal system = triclinic; raw formation energy = -0.510 eV per atom; E_tot = -2.604 eV per atom; SG = P-1 (2)
1.0
7.786 -1.073 0.968
2.775 6.132 1.195
4.486 2.389 7.543
Sb I Cl
1 1 6
direct
0.000 0.000 0.000
0.500 0.500 0.500
0.116 0.429 0.686
0.793 0.990 0.890
0.732 0.167 0.192
0.207 0.010 0.110
0.884 0.571 0.314
0.268 0.833 0.808